Compound: BaSi5Pt4
Source: Alexandria
Functional: PBE
Structure: relaxed

Geometry as CIF:
```
data_BaSi5Pt4
_symmetry_space_group_name_H-M 'P 1'
_symmetry_Int_Tables_number 1
_cell_length_a 8.7860
_cell_length_b 8.7860
_cell_length_c 5.0199
_cell_angle_alpha 90.00
_cell_angle_beta 90.00
_cell_angle_gamma 90.00
loop_
_symmetry_equiv_pos_as_xyz
'x,y,z'
loop_
_atom_site_label
_atom_site_fract_x
_atom_site_fract_y
_atom_site_fract_z
Ba1 0.2500 0.7500 0.0000
Ba2 0.7500 0.2500 0.0000
Si1 0.0083 0.0083 0.2446
Si2 0.0083 0.4917 0.2446
Si3 0.2500 0.2500 0.7982
Si4 0.4917 0.0083 0.2446
Si5 0.4917 0.4917 0.2446
Si6 0.5083 0.5083 0.7554
Si7 0.5083 0.9917 0.7554
Si8 0.7500 0.7500 0.2018
Si9 0.9917 0.5083 0.7554
Si10 0.9917 0.9917 0.7554
Pt1 0.0198 0.2500 0.5128
Pt2 0.2500 0.0198 0.5128
Pt3 0.2500 0.4802 0.5128
Pt4 0.4802 0.2500 0.5128
Pt5 0.5198 0.7500 0.4872
Pt6 0.7500 0.5198 0.4872
Pt7 0.7500 0.9802 0.4872
Pt8 0.9802 0.7500 0.4872
```

## Properties
Energy relative to the elements, uncorrected: -0.439 eV/atom
Total energy: -5.759 eV/atom
Total magnetic moment: 0.00 μB per atom
Crystal system: tetragonal
DOS(E_F): 9.68 states/eV per cell

***

Compound: Rb2TlIr
Source: Alexandria
Functional: PBE
Structure: relaxed

Geometry as CIF:
```
data_Rb2TlIr
_symmetry_space_group_name_H-M 'P 1'
_symmetry_Int_Tables_number 1
_cell_length_a 5.7464
_cell_length_b 5.7464
_cell_length_c 5.7464
_cell_angle_alpha 60.00
_cell_angle_beta 60.00
_cell_angle_gamma 60.00
loop_
_symmetry_equiv_pos_as_xyz
'x,y,z'
loop_
_atom_site_label
_atom_site_fract_x
_atom_site_fract_y
_atom_site_fract_z
Rb1 0.2500 0.2500 0.2500
Rb2 0.7500 0.7500 0.7500
Tl1 0.0000 0.0000 0.0000
Ir1 0.5000 0.5000 0.5000
```

## Properties
Total energy: -2.453 eV/atom
Formation energy from the elements: 0.837 eV per atom
Total magnetic moment: 0.00 μB per atom
Crystal system: cubic
Energy above the lowest structure with this stoichiometry: 0 meV per atom
DOS(E_F): 3.46 states/eV per cell

***

Compound: Tb2Y3Ho2
Source: Alexandria
Functional: PBE
Structure: relaxed

Geometry as CIF:
```
data_Tb2Y3Ho2
_symmetry_space_group_name_H-M 'P 1'
_symmetry_Int_Tables_number 1
_cell_length_a 12.0530
_cell_length_b 12.0530
_cell_length_c 3.5362
_cell_angle_alpha 98.39
_cell_angle_beta 98.39
_cell_angle_gamma 26.26
loop_
_symmetry_equiv_pos_as_xyz
'x,y,z'
loop_
_atom_site_label
_atom_site_fract_x
_atom_site_fract_y
_atom_site_fract_z
Tb1 0.0799 0.0799 0.0809
Tb2 0.9201 0.9201 0.9191
Y1 0.2243 0.2243 0.7242
Y2 0.5000 0.5000 0.5000
Y3 0.7757 0.7757 0.2758
Ho1 0.3578 0.3578 0.3567
Ho2 0.6422 0.6422 0.6433
```

## Properties
Total energy: -5.357 eV/atom
Formation energy from the elements: 0.044 eV per atom
Total magnetic moment: 0.00 μB per atom
Crystal system: monoclinic
Energy above the lowest structure with this stoichiometry: 0 meV per atom
DOS(E_F): 13.27 states/eV per cell

***

Compound: Rb2PmMgF6
Source: Alexandria
Functional: PBE
Structure: relaxed

Geometry as CIF:
```
data_Rb2PmMgF6
_symmetry_space_group_name_H-M 'P 1'
_symmetry_Int_Tables_number 1
_cell_length_a 6.2658
_cell_length_b 6.2658
_cell_length_c 6.2658
_cell_angle_alpha 123.17
_cell_angle_beta 115.68
_cell_angle_gamma 91.12
loop_
_symmetry_equiv_pos_as_xyz
'x,y,z'
loop_
_atom_site_label
_atom_site_fract_x
_atom_site_fract_y
_atom_site_fract_z
Rb1 0.2407 0.2407 0.0000
Rb2 0.7593 0.7593 0.0000
Pm1 0.5000 0.0000 0.5000
Mg1 0.0000 0.5000 0.5000
F1 0.2100 0.2473 0.4573
F2 0.2100 0.7527 0.9627
F3 0.2368 0.7368 0.5000
F4 0.7632 0.2632 0.5000
F5 0.7900 0.2473 0.0373
F6 0.7900 0.7527 0.5427
```

## Properties
Energy relative to the elements, uncorrected: -3.128 eV/atom
Total energy: -5.079 eV/atom
Total magnetic moment: 0.08 μB per atom
Crystal system: orthorhombic
DOS(E_F): 1.22 states/eV per cell